## w
## Sm4As3 (PBE)

Data for a relaxed structure of Sm4As3.

## Properties
Fermi-level density of states   2.09 states/eV/f.u.
Mass density   6.788 Mg/m³

a b c (Å): 4.197 4.197 13.469
angles (deg): 81.04 81.04 60.00
Element x y z (fractional)
Sm (0.375, 0.375, 0.874)
Sm (0.126, 0.126, 0.621)
Sm (0.874, 0.874, 0.379)
Sm (0.625, 0.625, 0.126)
As (0.754, 0.754, 0.739)
As (0.246, 0.246, 0.261)
As (0.000, 0.000, 0.000)


## x
## Sm4As3 (PBE)

Data for a relaxed structure of Sm4As3.

## Properties
Fermi-level density of states   6.55 states/eV/f.u.
Mass density   7.741 Mg/m³

a b c (Å): 7.722 7.722 7.722
angles (deg): 109.47 109.47 109.47
Element x y z (fractional)
Sm (0.366, 0.366, 0.366)
Sm (0.134, 0.500, 0.000)
Sm (0.000, 0.134, 0.500)
Sm (0.866, 0.866, 0.866)
Sm (0.500, 0.000, 0.134)
Sm (0.634, 0.500, 0.000)
Sm (0.500, 0.000, 0.634)
Sm (0.000, 0.634, 0.500)
As (0.125, 0.875, 0.250)
As (0.375, 0.625, 0.750)
As (0.875, 0.250, 0.125)
As (0.625, 0.750, 0.375)
As (0.250, 0.125, 0.875)
As (0.750, 0.375, 0.625)


Least stable of them? w.


## w
## Sm3As (PBE)

Data for a relaxed structure of Sm3As.

## Properties
Fermi-level density of states   4.01 states/eV/f.u.
Mass density   6.787 Mg/m³

a b c (Å): 4.071 4.073 7.760
angles (deg): 90.00 90.00 90.00
Element x y z (fractional)
As (0.000, 0.000, 0.083)
Sm (0.000, 0.500, 0.436)
Sm (0.500, 0.500, 0.083)
Sm (0.500, 0.000, 0.731)


## x
## Sm3As (PBE)

Data for a relaxed structure of Sm3As.

## Properties
Fermi-level density of states   2.69 states/eV/f.u.
Mass density   7.382 Mg/m³

a b c (Å): 3.858 6.442 6.063
angles (deg): 122.09 108.55 90.00
Element x y z (fractional)
As (0.000, 0.071, 0.000)
Sm (0.306, 0.651, 0.612)
Sm (0.500, 0.406, 0.000)
Sm (0.694, 0.039, 0.388)


Least stable of them? w.


## w
## SmSnAs2 (PBE)

Data for a relaxed structure of SmSnAs2.

## Properties
Fermi-level density of states   4.09 states/eV/f.u.
Mass density   5.912 Mg/m³

a b c (Å): 3.869 3.869 9.347
angles (deg): 78.06 78.06 60.00
Element x y z (fractional)
As (0.106, 0.106, 0.682)
As (0.894, 0.894, 0.318)
Sn (0.500, 0.500, 0.500)
Sm (0.000, 0.000, 0.000)


## x
## SmSnAs2 (PBE)

Data for a relaxed structure of SmSnAs2.

## Properties
Fermi-level density of states   2.30 states/eV/f.u.
Mass density   7.520 Mg/m³

a b c (Å): 3.862 4.894 4.894
angles (deg): 90.00 90.00 90.00
Element x y z (fractional)
As (0.000, 0.000, 0.500)
As (0.000, 0.500, 0.000)
Sn (0.500, 0.500, 0.500)
Sm (0.500, 0.000, 0.000)


Least stable of them? w.


## w
## Sm2SnAs (PBE)

Data for a relaxed structure of Sm2SnAs.

## Properties
Fermi-level density of states   1.74 states/eV/f.u.
Mass density   7.318 Mg/m³

a b c (Å): 4.292 4.418 12.037
angles (deg): 100.57 90.00 90.00
Element x y z (fractional)
Sm (0.750, 0.689, 0.377)
Sm (0.250, 0.311, 0.623)
Sm (0.750, 0.932, 0.863)
Sm (0.250, 0.068, 0.137)
Sn (0.250, 0.455, 0.909)
Sn (0.750, 0.545, 0.091)
As (0.250, 0.189, 0.378)
As (0.750, 0.811, 0.622)


## x
## Sm2SnAs (PBE)

Data for a relaxed structure of Sm2SnAs.

## Properties
Fermi-level density of states   1.07 states/eV/f.u.
Mass density   7.116 Mg/m³

a b c (Å): 4.146 4.146 8.112
angles (deg): 75.20 75.20 60.00
Element x y z (fractional)
As (0.000, 0.000, 0.000)
Sn (0.500, 0.500, 0.500)
Sm (0.740, 0.740, 0.779)
Sm (0.260, 0.260, 0.221)


Least stable of them? x.